The following is a DFT calculation (PBE-GGA) of an optimized crystal structure of CrHPt3.

Volume: 19.34 A^3/atom
Theoretical density: 10.96 g/cm³
Final energy: -4.757 eV/atom
Symmetry: No. 221
N(E_F): 1.0154 states/eV per atom

Cell lengths 4.590, 4.590, 4.590 Å; angles 90.00, 90.00, 90.00 degrees
Site moments in Bohr magnetons follow the coordinates.
Fractional positions:
Pt 0.000 0.000 0.500  0.03
Pt 0.000 0.500 0.000  0.03
H 0.500 0.500 0.500  0.32
Pt 0.500 0.000 0.000  0.05
Cr 0.000 0.000 0.000  0.34